Density functional theory data (PBE) for a geometry-optimized Ho2Al structure.

Results
SG: I4/mmm (139)
Raw total energy, eV per atom: -4.318
ΔE_f, eV per atom: -0.019

Cell and atoms, written as extended XYZ:
```
3
Lattice="-4.8143 0.9126 1.1382 0.9126 -1.1781 4.8044 2.7555 3.5257 -2.2922" Properties=species:S:1:pos:R:3 pbc="T T T"
Ho 0.8587 1.1074 2.7418
Al 0.0000 0.0000 0.0000
Ho -2.0049 2.1527 0.9087
```


Density functional theory data (PBE) for a geometry-optimized AlOs2W structure.

Results
SG: I-4m2 (119)
Raw total energy, eV per atom: -9.778
ΔE_f, eV per atom: 0.011

Cell and atoms, written as extended XYZ:
```
4
Lattice="4.9540 0.0085 0.0000 2.0940 4.4896 0.0000 -3.5240 -2.2490 2.6580" Properties=species:S:1:pos:R:3 pbc="T T T"
Os 0.0000 0.0000 0.0000
W 3.5240 2.2490 0.0000
Al 2.4770 0.0042 1.3290
Os 1.0470 2.2448 1.3290
```


Density functional theory data (PBE) for a geometry-optimized PrNdSmHo structure.

Results
SG: P3m1 (156)
Raw total energy, eV per atom: -4.699
ΔE_f, eV per atom: 0.012

Cell and atoms, written as extended XYZ:
```
4
Lattice="3.6514 0.0000 0.0000 -1.8257 3.1622 0.0000 0.0000 0.0000 11.7764" Properties=species:S:1:pos:R:3 pbc="T T T"
Sm 0.0000 2.1081 10.8490
Pr 0.0000 0.0000 5.0480
Nd 1.8257 1.0541 2.0233
Ho 1.8257 1.0541 7.9804
```


Density functional theory data (PBE) for a geometry-optimized BaTl12In7 structure.

Results
SG: Im-3 (204)
Raw total energy, eV per atom: -2.340
ΔE_f, eV per atom: 0.134

Cell and atoms, written as extended XYZ:
```
20
Lattice="-9.1360 3.5472 -0.8094 2.0405 -5.6143 -7.8115 0.7073 -5.3968 8.1901" Properties=species:S:1:pos:R:3 pbc="T T T"
Tl 0.2356 -5.6770 3.4660
Tl -5.6683 -3.1638 1.4688
In -3.5477 -1.0335 -4.3105
Tl -6.6237 -1.7869 -3.8969
In 0.3536 -2.6984 4.0951
Tl -0.7198 -4.3002 -1.8996
Tl -2.2716 -3.2343 2.6452
In -3.1941 -3.7320 -0.2154
In -4.5680 1.7736 -0.4047
Tl -4.1165 -4.2296 -3.0760
Tl -6.5130 0.2209 1.3525
In 1.0203 -2.8072 -3.9058
Tl -1.5257 -3.6610 -5.3447
In -4.2144 -0.9248 3.6904
Tl -4.4427 -1.1515 -1.2469
Tl -4.8625 -3.8029 4.9139
In 1.3739 -5.5056 0.1893
Tl -1.9455 -6.3124 0.8161
Ba 0.0000 0.0000 0.0000
Tl 0.1248 -7.6848 -1.7833
```